# Zr3ZnOs

Zr3ZnOs after structural relaxation (PBE-GGA, the Alexandria database). Values from VASP.

Computed properties:
SG: Cmcm (63)
Electronic total energy: -7.93 eV per atom
Excess energy over the best structure of this formula in the dataset: 0 kJ/mol of formula units
DFT formation energy: -0.2957 eV/atom
Total magnetization: 0.00 Bohr magnetons per cell

The structure in Quantum ESPRESSO input format:
```
&SYSTEM
  ibrav = 0, nat = 10, ntyp = 3
/
ATOMIC_SPECIES
Zr 91.22 Zr.upf
Zn 65.41 Zn.upf
Os 190.23 Os.upf
ATOMIC_POSITIONS angstrom
Zr 2.347 7.663 3.546
Zr 2.347 4.341 3.546
Zr 2.347 1.036 3.546
Zr 2.347 -1.036 1.182
Zr 2.347 -4.341 1.182
Zr 2.347 -7.663 1.182
Zn 2.347 2.665 1.182
Zn 2.347 -2.665 3.546
Os 2.347 5.937 1.182
Os 2.347 -5.937 3.546
CELL_PARAMETERS angstrom
2.347 -8.679 0.000
2.347 8.679 0.000
0.000 0.000 4.728
```


# Li2SiAs

Li2SiAs after structural relaxation (PBE-GGA, the Alexandria database). Values from VASP.

Computed properties:
SG: I-4m2 (119)
Electronic total energy: -3.67 eV per atom
Excess energy over the best structure of this formula in the dataset: 41 kJ/mol of formula units
E_form (uncorrected): -190.4 meV/atom
Total magnetization: 0.00 Bohr magnetons per cell

The structure in Quantum ESPRESSO input format:
```
&SYSTEM
  ibrav = 0, nat = 8, ntyp = 3
/
ATOMIC_SPECIES
Li 6.94 Li.upf
Si 28.09 Si.upf
As 74.92 As.upf
ATOMIC_POSITIONS angstrom
Li 0.000 0.000 0.000
Li 0.000 1.930 2.094
Li 1.930 0.000 6.283
Li 1.930 1.930 4.189
Si 0.000 1.930 6.283
Si 1.930 0.000 2.094
As 0.000 0.000 4.189
As 1.930 1.930 0.000
CELL_PARAMETERS angstrom
3.860 0.000 0.000
0.000 3.860 0.000
0.000 0.000 8.378
```


# LaTbCe2

LaTbCe2 after structural relaxation (PBE-GGA, the Alexandria database). Values from VASP.

Computed properties:
SG: Fm-3m (225)
Electronic total energy: -5.09 eV per atom
Excess energy over the best structure of this formula in the dataset: 62 kJ/mol of formula units
DFT formation energy: 0.2705 eV/atom
Total magnetization: 17.01 Bohr magnetons per cell

The structure in Quantum ESPRESSO input format:
```
&SYSTEM
  ibrav = 0, nat = 16, ntyp = 3
/
ATOMIC_SPECIES
La 138.91 La.upf
Tb 158.93 Tb.upf
Ce 140.12 Ce.upf
ATOMIC_POSITIONS angstrom
La 0.000 0.000 0.000
La 0.000 4.045 4.045
La 4.045 0.000 4.045
La 4.045 4.045 0.000
Tb 0.000 0.000 4.045
Tb 0.000 4.045 0.000
Tb 4.045 0.000 0.000
Tb 4.045 4.045 4.045
Ce 2.023 2.023 2.023
Ce 2.023 2.023 6.068
Ce 2.023 6.068 2.023
Ce 2.023 6.068 6.068
Ce 6.068 2.023 2.023
Ce 6.068 2.023 6.068
Ce 6.068 6.068 2.023
Ce 6.068 6.068 6.068
CELL_PARAMETERS angstrom
8.091 0.000 0.000
0.000 8.091 0.000
0.000 0.000 8.091
```


# TbTh2BC2

TbTh2BC2 after structural relaxation (PBE-GGA, the Alexandria database). Values from VASP.

Computed properties:
SG: Pnnm (58)
Electronic total energy: -7.64 eV per atom
DFT formation energy: -0.2072 eV/atom
Total magnetization: 0.00 Bohr magnetons per cell

The structure in Quantum ESPRESSO input format:
```
&SYSTEM
  ibrav = 0, nat = 12, ntyp = 4
/
ATOMIC_SPECIES
Tb 158.93 Tb.upf
Th 232.04 Th.upf
B 10.81 B.upf
C 12.01 C.upf
ATOMIC_POSITIONS angstrom
Tb 0.000 0.000 0.000
Tb 2.771 5.428 1.848
Th 0.231 3.160 1.848
Th 2.541 8.588 0.000
Th 3.002 2.268 0.000
Th 5.312 7.696 1.848
B 0.000 5.428 0.000
B 2.771 0.000 1.848
C 1.113 6.440 0.000
C 1.658 1.012 1.848
C 3.884 9.844 1.848
C 4.430 4.416 0.000
CELL_PARAMETERS angstrom
5.543 0.000 0.000
0.000 10.856 0.000
0.000 0.000 3.695
```


# MnCrOs2Rh

MnCrOs2Rh after structural relaxation (PBE-GGA, the Alexandria database). Values from VASP.

Computed properties:
SG: P4/mmm (123)
Electronic total energy: -7.34 eV per atom
DFT formation energy: 2.3763 eV/atom
Total magnetization: 2.83 Bohr magnetons per cell

The structure in Quantum ESPRESSO input format:
```
&SYSTEM
  ibrav = 0, nat = 5, ntyp = 4
/
ATOMIC_SPECIES
Mn 54.94 Mn.upf
Cr 52.00 Cr.upf
Os 190.23 Os.upf
Rh 102.91 Rh.upf
ATOMIC_POSITIONS angstrom
Mn 0.000 0.000 0.000
Cr 2.325 2.325 0.000
Os 0.000 2.325 2.252
Os 2.325 0.000 2.252
Rh 2.325 2.325 2.252
CELL_PARAMETERS angstrom
4.650 0.000 0.000
0.000 4.650 0.000
0.000 0.000 4.504
```


# YMn2TlPd

YMn2TlPd after structural relaxation (PBE-GGA, the Alexandria database). Values from VASP.

Computed properties:
SG: P4/mmm (123)
Electronic total energy: -5.46 eV per atom
DFT formation energy: 1.0143 eV/atom
Total magnetization: 8.71 Bohr magnetons per cell

The structure in Quantum ESPRESSO input format:
```
&SYSTEM
  ibrav = 0, nat = 5, ntyp = 4
/
ATOMIC_SPECIES
Y 88.91 Y.upf
Mn 54.94 Mn.upf
Tl 204.38 Tl.upf
Pd 106.42 Pd.upf
ATOMIC_POSITIONS angstrom
Y 0.000 0.000 0.000
Mn 0.000 2.499 2.857
Mn 2.499 0.000 2.857
Tl 0.000 0.000 2.857
Pd 2.499 2.499 0.000
CELL_PARAMETERS angstrom
4.999 0.000 0.000
0.000 4.999 0.000
0.000 0.000 5.715
```


# Rb2VH4

Rb2VH4 after structural relaxation (PBE-GGA, the Alexandria database). Values from VASP.

Computed properties:
SG: I4/mmm (139)
Electronic total energy: -3.57 eV per atom
Total magnetization: 6.00 Bohr magnetons per cell

The structure in Quantum ESPRESSO input format:
```
&SYSTEM
  ibrav = 0, nat = 14, ntyp = 3
/
ATOMIC_SPECIES
Rb 85.47 Rb.upf
V 50.94 V.upf
H 1.01 H.upf
ATOMIC_POSITIONS angstrom
Rb 0.000 0.000 2.089
Rb 0.000 0.000 12.072
Rb 2.006 2.006 4.991
Rb 2.006 2.006 9.170
V 0.000 0.000 7.081
V 2.006 2.006 0.000
H 0.000 0.000 5.196
H 0.000 0.000 8.965
H 0.000 2.006 0.000
H 0.000 2.006 7.081
H 2.006 0.000 0.000
H 2.006 0.000 7.081
H 2.006 2.006 1.885
H 2.006 2.006 12.276
CELL_PARAMETERS angstrom
4.012 0.000 0.000
0.000 4.012 0.000
0.000 0.000 14.161
```


# YRhBr2

YRhBr2 after structural relaxation (PBE-GGA, the Alexandria database). Values from VASP.

Computed properties:
SG: I-42d (122)
Electronic total energy: -4.89 eV per atom
Excess energy over the best structure of this formula in the dataset: 165 kJ/mol of formula units
E_form (uncorrected): -597.1 meV/atom
Total magnetization: 0.00 Bohr magnetons per cell

The structure in Quantum ESPRESSO input format:
```
&SYSTEM
  ibrav = 0, nat = 16, ntyp = 3
/
ATOMIC_SPECIES
Y 88.91 Y.upf
Rh 102.91 Rh.upf
Br 79.90 Br.upf
ATOMIC_POSITIONS angstrom
Y 0.000 0.000 0.000
Y 0.000 2.354 4.357
Y 2.354 0.000 13.071
Y 2.354 2.354 8.714
Rh 0.000 0.000 8.714
Rh 0.000 2.354 13.071
Rh 2.354 0.000 4.357
Rh 2.354 2.354 0.000
Br 1.080 1.177 10.892
Br 1.177 3.434 15.249
Br 1.177 3.629 6.535
Br 1.275 1.177 2.178
Br 3.434 3.531 2.178
Br 3.531 1.080 6.535
Br 3.531 1.275 15.249
Br 3.629 3.531 10.892
CELL_PARAMETERS angstrom
4.709 0.000 0.000
0.000 4.709 0.000
0.000 0.000 17.428
```


# ScH4Rh4

ScH4Rh4 after structural relaxation (PBE-GGA, the Alexandria database). Values from VASP.

Computed properties:
SG: C2/m (12)
Electronic total energy: -5.76 eV per atom
Total magnetization: 0.00 Bohr magnetons per cell

The structure in Quantum ESPRESSO input format:
```
&SYSTEM
  ibrav = 0, nat = 9, ntyp = 3
/
ATOMIC_SPECIES
Sc 44.96 Sc.upf
H 1.01 H.upf
Rh 102.91 Rh.upf
ATOMIC_POSITIONS angstrom
Sc 0.000 0.000 0.000
H -0.854 0.000 2.126
H 2.134 0.000 0.847
H 2.510 0.000 3.805
H 5.497 0.000 2.526
Rh -1.891 0.000 3.729
Rh 0.919 0.000 2.755
Rh 3.725 0.000 1.897
Rh 6.534 0.000 0.923
CELL_PARAMETERS angstrom
4.642 -1.973 0.000
4.642 1.973 0.000
-4.641 0.000 4.652
```


# CaMnIr

CaMnIr after structural relaxation (PBE-GGA, the Alexandria database). Values from VASP.

Computed properties:
SG: Pm (6)
Electronic total energy: -6.63 eV per atom
Excess energy over the best structure of this formula in the dataset: 73 kJ/mol of formula units
DFT formation energy: 0.0491 eV/atom
Total magnetization: 0.76 Bohr magnetons per cell

The structure in Quantum ESPRESSO input format:
```
&SYSTEM
  ibrav = 0, nat = 6, ntyp = 3
/
ATOMIC_SPECIES
Ca 40.08 Ca.upf
Mn 54.94 Mn.upf
Ir 192.22 Ir.upf
ATOMIC_POSITIONS angstrom
Ca 0.000 0.000 0.000
Ca 1.466 1.990 4.834
Mn 1.348 1.990 2.037
Mn 4.066 1.990 2.183
Ir 0.089 0.000 2.889
Ir 2.708 0.000 2.705
CELL_PARAMETERS angstrom
5.258 0.000 0.000
0.000 3.980 0.000
-1.222 0.000 5.557
```


# SrCd12Ag4

SrCd12Ag4 after structural relaxation (PBE-GGA, the Alexandria database). Values from VASP.

Computed properties:
SG: Im-3 (204)
Electronic total energy: -1.34 eV per atom
DFT formation energy: 0.0807 eV/atom
Total magnetization: 0.00 Bohr magnetons per cell

The structure in Quantum ESPRESSO input format:
```
&SYSTEM
  ibrav = 0, nat = 17, ntyp = 3
/
ATOMIC_SPECIES
Sr 87.62 Sr.upf
Cd 112.41 Cd.upf
Ag 107.87 Ag.upf
ATOMIC_POSITIONS angstrom
Sr 0.000 0.000 0.000
Cd 3.399 1.492 0.000
Cd 6.313 1.492 0.000
Cd 4.856 -1.457 3.364
Cd 3.364 4.856 -1.457
Cd 1.492 0.000 3.399
Cd 4.856 1.457 3.364
Cd 0.000 3.399 1.492
Cd 3.364 4.856 1.457
Cd 1.492 0.000 6.313
Cd 0.000 6.313 1.492
Cd -1.457 3.364 4.856
Cd 1.457 3.364 4.856
Ag 2.428 2.428 -2.428
Ag 2.428 -2.428 2.428
Ag -2.428 2.428 2.428
Ag 2.428 2.428 2.428
CELL_PARAMETERS angstrom
-4.856 4.856 4.856
4.856 -4.856 4.856
4.856 4.856 -4.856
```


# Tm2SiAu

Tm2SiAu after structural relaxation (PBE-GGA, the Alexandria database). Values from VASP.

Computed properties:
SG: P2_1/m (11)
Electronic total energy: -5.20 eV per atom
E_form (uncorrected): -794.1 meV/atom
Total magnetization: 0.00 Bohr magnetons per cell

The structure in Quantum ESPRESSO input format:
```
&SYSTEM
  ibrav = 0, nat = 8, ntyp = 3
/
ATOMIC_SPECIES
Tm 168.93 Tm.upf
Si 28.09 Si.upf
Au 196.97 Au.upf
ATOMIC_POSITIONS angstrom
Tm 0.034 1.054 3.177
Tm -1.345 1.054 6.904
Tm 4.297 3.162 0.523
Tm 2.918 3.162 4.250
Si -0.050 3.162 5.271
Si 3.002 1.054 2.156
Au 1.345 3.162 1.557
Au 1.607 1.054 5.870
CELL_PARAMETERS angstrom
5.749 0.000 0.000
0.000 4.216 0.000
-2.797 0.000 7.427
```